Ta3V8Pt (PBE-GGA, optimized geometry); raw total energy = -9.703 eV/atom
1.0
2.518 1.454 8.110
-2.518 1.454 8.110
0.000 -2.907 8.110
Ta V Pt
3 8 1
Direct
0.000 0.000 0.000
0.124 0.124 0.124
0.626 0.626 0.626
0.060 0.565 0.565
0.062 0.062 0.561
0.062 0.561 0.062
0.312 0.312 0.312
0.561 0.062 0.062
0.565 0.060 0.565
0.565 0.565 0.060
0.812 0.812 0.812
0.501 0.501 0.501

TaV2Pt9 (PBE-GGA, optimized geometry); raw total energy = -7.501 eV/atom
1.0
4.873 0.000 0.000
0.754 6.175 0.000
0.766 0.597 6.150
Ta V Pt
1 2 9
Direct
0.000 0.000 0.000
0.260 0.573 0.902
0.740 0.427 0.098
0.010 0.331 0.682
0.240 0.267 0.236
0.255 0.912 0.596
0.492 0.821 0.156
0.500 0.500 0.500
0.508 0.179 0.844
0.745 0.088 0.404
0.760 0.733 0.764
0.990 0.669 0.318

Computed values of calculated formation energy (unit: eV per formula unit) for the preceding records, in sequence: -1.891 -5.561.